Record 1
Density functional theory data (PBE) for a geometry-optimized Er3Sc2Ga2 structure.

Lattice parameters (Å, degrees): 12.9043 3.5202 8.3881 90.00 114.17 90.00
Fractional positions:
Er (0.0000, 0.0000, 0.0000)
Er (0.1103, 0.0000, 0.4380)
Er (0.3897, 0.5000, 0.5620)
Er (0.5000, 0.5000, 0.0000)
Er (0.6103, 0.5000, 0.4380)
Er (0.8897, 0.0000, 0.5620)
Sc (0.1430, 0.5000, 0.8128)
Sc (0.3570, 0.0000, 0.1872)
Sc (0.6430, 0.0000, 0.8128)
Sc (0.8570, 0.5000, 0.1872)
Ga (0.1928, 0.5000, 0.2091)
Ga (0.3072, 0.0000, 0.7909)
Ga (0.6928, 0.0000, 0.2091)
Ga (0.8072, 0.5000, 0.7909)

Calculated values
- formation enthalpy at 0 K (eV/atom) = -0.324
- theoretical density (Mg/m³) = 7.0
- N(E_F) (states/eV/atom) = 1.0117

---

Record 2
Density functional theory data (PBE) for a geometry-optimized Cd2Pb2Au structure.

Lattice parameters (Å, degrees): 3.9592 3.9592 17.5210 90.00 90.00 90.00
Fractional positions:
Cd (0.0000, 0.5000, 0.2500)
Cd (0.0000, 0.5000, 0.7500)
Cd (0.5000, 0.0000, 0.2500)
Cd (0.5000, 0.0000, 0.7500)
Pb (0.0000, 0.0000, 0.0925)
Pb (0.0000, 0.0000, 0.9075)
Pb (0.5000, 0.5000, 0.4075)
Pb (0.5000, 0.5000, 0.5925)
Au (0.0000, 0.0000, 0.5000)
Au (0.5000, 0.5000, 0.0000)

Calculated values
- energy above the most stable polymorph in this dataset (eV/atom) = 0.1372
- formation enthalpy at 0 K (eV/atom) = 0.126
- theoretical density (Mg/m³) = 10.1
- N(E_F) (states/eV/atom) = 0.5265

---

Record 3
Density functional theory data (PBE) for a geometry-optimized BaLiPd3Pb structure.

Lattice parameters (Å, degrees): 6.9304 6.9304 7.0673 90.00 90.00 127.80
Fractional positions:
Ba (0.1912, 0.8088, 0.7500)
Ba (0.8088, 0.1912, 0.2500)
Li (0.4353, 0.5647, 0.7500)
Li (0.5647, 0.4353, 0.2500)
Pd (0.2498, 0.2498, 0.0000)
Pd (0.2498, 0.2498, 0.5000)
Pd (0.3551, 0.6449, 0.2500)
Pd (0.6449, 0.3551, 0.7500)
Pd (0.7502, 0.7502, 0.0000)
Pd (0.7502, 0.7502, 0.5000)
Pb (0.1275, 0.8725, 0.2500)
Pb (0.8725, 0.1275, 0.7500)

Calculated values
- formation enthalpy at 0 K (eV/atom) = -0.365
- theoretical density (Mg/m³) = 8.3
- N(E_F) (states/eV/atom) = 0.5321

---

Record 4
Density functional theory data (PBE) for a geometry-optimized CuIr structure.

Lattice parameters (Å, degrees): 2.6805 2.6805 3.7382 90.00 90.00 90.00
Fractional positions:
Cu (0.0000, 0.0000, 0.0000)
Ir (0.5000, 0.5000, 0.5000)

Calculated values
- formation enthalpy at 0 K (eV/atom) = 0.256
- theoretical density (Mg/m³) = 15.8
- N(E_F) (states/eV/atom) = 1.4127

---

Record 5
Density functional theory data (PBE) for a geometry-optimized CsKUCl6 structure.

Lattice parameters (Å, degrees): 7.8155 7.8155 14.1727 90.00 90.00 120.00
Fractional positions:
Cs (0.0000, 0.0000, 0.0000)
Cs (0.0000, 0.0000, 0.5000)
K (0.3333, 0.6667, 0.2500)
K (0.6667, 0.3333, 0.7500)
U (0.3333, 0.6667, 0.7500)
U (0.6667, 0.3333, 0.2500)
Cl (0.0520, 0.3970, 0.6426)
Cl (0.0520, 0.6550, 0.8574)
Cl (0.3450, 0.3970, 0.8574)
Cl (0.3450, 0.9480, 0.6426)
Cl (0.3970, 0.0520, 0.1426)
Cl (0.3970, 0.3450, 0.3574)
Cl (0.6030, 0.6550, 0.6426)
Cl (0.6030, 0.9480, 0.8574)
Cl (0.6550, 0.0520, 0.3574)
Cl (0.6550, 0.6030, 0.1426)
Cl (0.9480, 0.3450, 0.1426)
Cl (0.9480, 0.6030, 0.3574)

Calculated values
- uncorrected energy (eV/cell) = -82.982
- theoretical density (Mg/m³) = 2.8
- N(E_F) (states/eV/atom) = 0.6008

---

Record 6
Density functional theory data (PBE) for a geometry-optimized CaY3Ir structure.

Lattice parameters (Å, degrees): 3.8223 7.4617 11.6962 73.83 80.67 89.97
Fractional positions:
Ca (0.0729, 0.2130, 0.3567)
Ca (0.9271, 0.7870, 0.6433)
Y (0.3006, 0.9142, 0.8981)
Y (0.3071, 0.4381, 0.8846)
Y (0.4323, 0.2900, 0.6315)
Y (0.5677, 0.7100, 0.3685)
Y (0.6929, 0.5619, 0.1154)
Y (0.6994, 0.0858, 0.1019)
Ir (0.1646, 0.7962, 0.1725)
Ir (0.8354, 0.2038, 0.8275)

Calculated values
- energy above the most stable polymorph in this dataset (eV/atom) = 0.0421
- formation enthalpy at 0 K (eV/atom) = -0.361
- theoretical density (Mg/m³) = 5.2
- N(E_F) (states/eV/atom) = 1.1060

---

Record 7
Density functional theory data (PBE) for a geometry-optimized Ce2Dy3YEr6 structure.

Lattice parameters (Å, degrees): 9.3308 9.3308 9.3308 148.93 115.81 73.03
Fractional positions:
Ce (0.1664, 0.1664, 0.0000)
Ce (0.8336, 0.8336, 0.0000)
Dy (0.0000, 0.5000, 0.5000)
Dy (0.3333, 0.8333, 0.5000)
Dy (0.6667, 0.1667, 0.5000)
Y (0.5000, 0.5000, 0.0000)
Er (0.0806, 0.3321, 0.7485)
Er (0.2474, 0.0000, 0.2474)
Er (0.4164, 0.6679, 0.7485)
Er (0.5836, 0.3321, 0.2515)
Er (0.7526, 0.0000, 0.7526)
Er (0.9194, 0.6679, 0.2515)

Calculated values
- formation enthalpy at 0 K (eV/atom) = 0.057
- theoretical density (Mg/m³) = 8.3
- N(E_F) (states/eV/atom) = 1.8534

---

Record 8
Density functional theory data (PBE) for a geometry-optimized TlCuRh3 structure.

Lattice parameters (Å, degrees): 4.5528 4.5528 4.5528 90.00 90.00 90.00
Fractional positions:
Tl (0.0000, 0.0000, 0.0000)
Cu (0.5000, 0.5000, 0.5000)
Rh (0.0000, 0.5000, 0.5000)
Rh (0.5000, 0.0000, 0.5000)
Rh (0.5000, 0.5000, 0.0000)

Calculated values
- energy above the most stable polymorph in this dataset (eV/atom) = 0.0000
- formation enthalpy at 0 K (eV/atom) = 0.933
- theoretical density (Mg/m³) = 10.1
- N(E_F) (states/eV/atom) = 1.7746

---

Record 9
Density functional theory data (PBE) for a geometry-optimized CeNd3Ru2 structure.

Lattice parameters (Å, degrees): 8.4910 8.4910 11.3809 117.29 117.29 28.79
Fractional positions:
Ce (0.0590, 0.0590, 0.1686)
Ce (0.9410, 0.9410, 0.8314)
Nd (0.1672, 0.1672, 0.5274)
Nd (0.2922, 0.2922, 0.9036)
Nd (0.4432, 0.4432, 0.2929)
Nd (0.5568, 0.5568, 0.7071)
Nd (0.7078, 0.7078, 0.0964)
Nd (0.8328, 0.8328, 0.4726)
Ru (0.1091, 0.1091, 0.9088)
Ru (0.3672, 0.3672, 0.6733)
Ru (0.6328, 0.6328, 0.3267)
Ru (0.8909, 0.8909, 0.0912)

Calculated values
- formation enthalpy at 0 K (eV/atom) = -0.199
- theoretical density (Mg/m³) = 7.4
- N(E_F) (states/eV/atom) = 0.9216

---

Record 10
Density functional theory data (PBE) for a geometry-optimized CsHfGaO4 structure.

Lattice parameters (Å, degrees): 5.5919 5.7912 7.7228 90.00 96.70 90.00
Fractional positions:
Cs (0.2146, 0.2500, 0.0925)
Cs (0.7854, 0.7500, 0.9075)
Hf (0.1661, 0.7500, 0.4729)
Hf (0.8339, 0.2500, 0.5271)
Ga (0.3705, 0.2500, 0.6449)
Ga (0.6295, 0.7500, 0.3551)
O (0.1256, 0.0217, 0.6478)
O (0.1256, 0.4783, 0.6478)
O (0.3220, 0.7500, 0.2383)
O (0.4802, 0.2500, 0.4271)
O (0.5198, 0.7500, 0.5729)
O (0.6780, 0.2500, 0.7617)
O (0.8744, 0.5217, 0.3522)
O (0.8744, 0.9783, 0.3522)

Calculated values
- uncorrected energy (eV/cell) = -101.390
- theoretical density (Mg/m³) = 6.0
- N(E_F) (states/eV/atom) = 0.0000

---

Record 11
Density functional theory data (PBE) for a geometry-optimized SmHo4ErS8 structure.

Lattice parameters (Å, degrees): 8.0361 8.0361 8.0361 60.05 60.05 60.05
Fractional positions:
Sm (0.0000, 0.0000, 0.0000)
Ho (0.1263, 0.6244, 0.6244)
Ho (0.2497, 0.2497, 0.2497)
Ho (0.6244, 0.1263, 0.6244)
Ho (0.6244, 0.6244, 0.1263)
Er (0.6244, 0.6244, 0.6244)
S (0.3819, 0.3819, 0.3819)
S (0.3830, 0.3830, 0.8527)
S (0.3830, 0.8527, 0.3830)
S (0.4060, 0.8639, 0.8639)
S (0.8527, 0.3830, 0.3830)
S (0.8639, 0.4060, 0.8639)
S (0.8639, 0.8639, 0.4060)
S (0.8648, 0.8648, 0.8648)

Calculated values
- uncorrected energy (eV/cell) = -87.575
- theoretical density (Mg/m³) = 5.6
- N(E_F) (states/eV/atom) = 0.6167

---

Record 12
Density functional theory data (PBE) for a geometry-optimized MgAgRh2 structure.

Lattice parameters (Å, degrees): 2.9389 4.6166 9.1952 90.00 90.00 90.00
Fractional positions:
Mg (0.0000, 0.0000, 0.0000)
Mg (0.5000, 0.5000, 0.5000)
Ag (0.0000, 0.0000, 0.5000)
Ag (0.5000, 0.5000, 0.0000)
Rh (0.0000, 0.5000, 0.2625)
Rh (0.0000, 0.5000, 0.7375)
Rh (0.5000, 0.0000, 0.2375)
Rh (0.5000, 0.0000, 0.7625)

Calculated values
- formation enthalpy at 0 K (eV/atom) = -0.064
- theoretical density (Mg/m³) = 9.0
- N(E_F) (states/eV/atom) = 0.9402

---

Record 13
Density functional theory data (PBE) for a geometry-optimized CaTlB structure.

Lattice parameters (Å, degrees): 5.1769 5.1769 10.8577 90.00 90.00 90.00
Fractional positions:
Ca (0.0000, 0.5000, 0.0000)
Ca (0.0000, 0.5000, 0.5000)
Ca (0.5000, 0.0000, 0.0000)
Ca (0.5000, 0.0000, 0.5000)
Tl (0.0000, 0.0000, 0.2184)
Tl (0.0000, 0.0000, 0.7816)
Tl (0.5000, 0.5000, 0.2816)
Tl (0.5000, 0.5000, 0.7184)
B (0.0000, 0.0000, 0.4297)
B (0.0000, 0.0000, 0.5703)
B (0.5000, 0.5000, 0.0703)
B (0.5000, 0.5000, 0.9297)

Calculated values
- formation enthalpy at 0 K (eV/atom) = 0.069
- theoretical density (Mg/m³) = 5.8
- N(E_F) (states/eV/atom) = 0.3675

---

Record 14
Density functional theory data (PBE) for a geometry-optimized Pr5AlTl4 structure.

Lattice parameters (Å, degrees): 3.8614 3.8614 19.9002 90.00 90.00 90.00
Fractional positions:
Pr (0.0000, 0.0000, 0.0000)
Pr (0.0000, 0.0000, 0.2050)
Pr (0.0000, 0.0000, 0.4084)
Pr (0.0000, 0.0000, 0.5916)
Pr (0.0000, 0.0000, 0.7950)
Al (0.5000, 0.5000, 0.5000)
Tl (0.5000, 0.5000, 0.1026)
Tl (0.5000, 0.5000, 0.3061)
Tl (0.5000, 0.5000, 0.6939)
Tl (0.5000, 0.5000, 0.8974)

Calculated values
- formation enthalpy at 0 K (eV/atom) = -0.381
- theoretical density (Mg/m³) = 8.7
- N(E_F) (states/eV/atom) = 0.7280

---

Record 15
Density functional theory data (PBE) for a geometry-optimized Rb2DyInCl6 structure.

Lattice parameters (Å, degrees): 7.7035 8.1371 13.4018 90.00 124.46 90.00
Fractional positions:
Rb (0.2238, 0.0689, 0.2479)
Rb (0.2238, 0.4311, 0.7479)
Rb (0.7762, 0.5689, 0.2521)
Rb (0.7762, 0.9311, 0.7521)
Dy (0.5000, 0.0000, 0.0000)
Dy (0.5000, 0.5000, 0.5000)
In (0.0000, 0.0000, 0.5000)
In (0.0000, 0.5000, 0.0000)
Cl (0.1713, 0.1787, 0.9501)
Cl (0.1713, 0.3213, 0.4501)
Cl (0.2672, 0.7284, 0.9379)
Cl (0.2672, 0.7716, 0.4379)
Cl (0.3827, 0.0405, 0.7733)
Cl (0.3827, 0.4595, 0.2733)
Cl (0.6173, 0.5405, 0.7267)
Cl (0.6173, 0.9595, 0.2267)
Cl (0.7328, 0.2284, 0.5621)
Cl (0.7328, 0.2716, 0.0621)
Cl (0.8287, 0.6787, 0.5499)
Cl (0.8287, 0.8213, 0.0499)

Calculated values
- uncorrected energy (eV/cell) = -78.867
- theoretical density (Mg/m³) = 3.2
- N(E_F) (states/eV/atom) = 0.0000

---

Record 16
Density functional theory data (PBE) for a geometry-optimized Ta3CdW structure.

Lattice parameters (Å, degrees): 4.8910 4.8910 4.8910 90.00 90.00 90.00
Fractional positions:
Ta (0.0000, 0.0000, 0.5000)
Ta (0.0000, 0.5000, 0.0000)
Ta (0.5000, 0.0000, 0.0000)
Cd (0.5000, 0.5000, 0.5000)
W (0.0000, 0.0000, 0.0000)

Calculated values
- energy above the most stable polymorph in this dataset (eV/atom) = 0.0000
- formation enthalpy at 0 K (eV/atom) = 1.429
- theoretical density (Mg/m³) = 11.9
- N(E_F) (states/eV/atom) = 0.6878

---

Record 17
Density functional theory data (PBE) for a geometry-optimized ZrAlV structure.

Lattice parameters (Å, degrees): 9.6274 4.0868 5.4553 90.00 91.72 90.00
Fractional positions:
Zr (0.0000, 0.0000, 0.0000)
Zr (0.0870, 0.5000, 0.5301)
Zr (0.5000, 0.5000, 0.0000)
Zr (0.5870, 0.0000, 0.5301)
Al (0.2852, 0.0000, 0.7546)
Al (0.3817, 0.5000, 0.4883)
Al (0.7852, 0.5000, 0.7546)
Al (0.8817, 0.0000, 0.4883)
V (0.1973, 0.5000, 0.0651)
V (0.3002, 0.0000, 0.2395)
V (0.6973, 0.0000, 0.0651)
V (0.8002, 0.5000, 0.2395)

Calculated values
- energy above the most stable polymorph in this dataset (eV/atom) = 0.1392
- formation enthalpy at 0 K (eV/atom) = -0.150
- theoretical density (Mg/m³) = 5.2
- N(E_F) (states/eV/atom) = 0.9078

---

Record 18
Density functional theory data (PBE) for a geometry-optimized Ce8Os2Ru structure.

Lattice parameters (Å, degrees): 7.4223 7.4223 5.8406 101.58 101.58 114.92
Fractional positions:
Ce (0.1006, 0.3229, 0.5891)
Ce (0.2164, 0.7836, 0.0000)
Ce (0.3229, 0.1006, 0.5891)
Ce (0.3709, 0.3709, 0.1740)
Ce (0.6291, 0.6291, 0.8260)
Ce (0.6771, 0.8994, 0.4109)
Ce (0.7836, 0.2164, 0.0000)
Ce (0.8994, 0.6771, 0.4109)
Os (0.2986, 0.7014, 0.5000)
Os (0.7014, 0.2986, 0.5000)
Ru (0.0000, 0.0000, 0.0000)

Calculated values
- energy above the most stable polymorph in this dataset (eV/atom) = 0.0185
- formation enthalpy at 0 K (eV/atom) = -0.134
- theoretical density (Mg/m³) = 9.8
- N(E_F) (states/eV/atom) = 2.5387

---

Record 19
Density functional theory data (PBE) for a geometry-optimized Th2Pd5Rh structure.

Lattice parameters (Å, degrees): 5.9659 11.9242 4.1568 90.00 90.00 90.00
Fractional positions:
Th (0.2334, 0.1201, 0.0000)
Th (0.2666, 0.6201, 0.0000)
Th (0.7334, 0.3799, 0.0000)
Th (0.7666, 0.8799, 0.0000)
Pd (0.0000, 0.5000, 0.5000)
Pd (0.0147, 0.7494, 0.5000)
Pd (0.2374, 0.3720, 0.0000)
Pd (0.2626, 0.8720, 0.0000)
Pd (0.4853, 0.2494, 0.5000)
Pd (0.5000, 0.0000, 0.5000)
Pd (0.5147, 0.7506, 0.5000)
Pd (0.7374, 0.1280, 0.0000)
Pd (0.7626, 0.6280, 0.0000)
Pd (0.9853, 0.2506, 0.5000)
Rh (0.0000, 0.0000, 0.5000)
Rh (0.5000, 0.5000, 0.5000)

Calculated values
- formation enthalpy at 0 K (eV/atom) = -0.963
- theoretical density (Mg/m³) = 12.3
- N(E_F) (states/eV/atom) = 0.1299

---

Record 20
Density functional theory data (PBE) for a geometry-optimized PmDyErHg structure.

Lattice parameters (Å, degrees): 3.6231 3.6231 8.9005 90.00 90.00 90.00
Fractional positions:
Pm (0.0000, 0.0000, 0.0000)
Dy (0.5000, 0.5000, 0.2831)
Er (0.5000, 0.5000, 0.7188)
Hg (0.0000, 0.0000, 0.5050)

Calculated values
- energy above the most stable polymorph in this dataset (eV/atom) = 0.0000
- formation enthalpy at 0 K (eV/atom) = -0.236
- theoretical density (Mg/m³) = 9.6
- N(E_F) (states/eV/atom) = 0.9677